Computed, not measured: a relaxed structure of PtW2 at the GGA-PBEsol level of DFT.

Cell: 2.697 2.697 12.666 Å, 90.00 90.00 90.00°
Sites, in units of the cell vectors:
Pt  0.000  0.000  0.000
Pt  0.500  0.500  0.500
W  0.000  0.000  0.337
W  0.000  0.000  0.663
W  0.500  0.500  0.163
W  0.500  0.500  0.837

Values from the calculation:
* V: 15.4 A^3/atom
* total DFT energy (no corrections): -69.57 eV per cell
* energy of formation from the pure elements: -1.57 kcal/mol of atoms
* space group: I4/mmm, No. 139